An optimized crystal structure of YHoAsO. Source: OQMD via LeMat-Bulk, functional PBE.

abc: 4.3353 4.3353 8.7265
angles: 90.00 90.00 90.00
Space group P4/nmm (No. 129, origin choice 2)
Asymmetric unit:
Y: 0.2500 0.7500 0.0000 [2 per cell]
Ho: 0.2500 0.2500 0.4032 [2 per cell]
As: 0.2500 0.2500 0.7925 [2 per cell]
O: 0.2500 0.7500 0.5000 [2 per cell]

Computed properties:
E above lowest polymorph in eV per atom: 0.0881
M_tot in μB per formula unit: 0.0



An optimized crystal structure of YHoZn2As2O2. Source: OQMD via LeMat-Bulk, functional PBE.

abc: 3.9471 3.9471 8.8889
angles: 90.00 90.00 90.00
Space group P4mm (No. 99)
Asymmetric unit:
Y: 0.0000 0.0000 0.0000 [1 per cell]
Ho: 0.5000 0.5000 0.2445 [1 per cell]
Zn: 0.0000 0.5000 0.6227 [2 per cell]
As: 0.0000 0.0000 0.4398 [1 per cell]
As: 0.5000 0.5000 0.8075 [1 per cell]
O: 0.0000 0.5000 0.1245 [2 per cell]

Computed properties:
Raw total energy in eV/f.u.: -47.349
M_tot in μB per formula unit: 0.0



An optimized crystal structure of HoZnAsO. Source: OQMD via LeMat-Bulk, functional PBE.

abc: 3.8374 5.9496 6.6499
angles: 90.00 90.00 90.00
Space group Pmc2_1 (No. 26)
Asymmetric unit:
Ho: 0.0000 0.0451 0.0000 [2 per cell]
Zn: 0.5000 0.3793 0.6398 [2 per cell]
As: 0.5000 0.2396 0.2750 [2 per cell]
O: 0.0000 0.2411 0.7203 [2 per cell]

Computed properties:
Raw total energy in eV/f.u.: -21.395
M_tot in μB per formula unit: 0.0



An optimized crystal structure of HoZnAsO. Source: OQMD via LeMat-Bulk, functional PBE.

abc: 4.3232 6.0743 5.8655
angles: 90.00 90.00 90.00
Space group Pmc2_1 (No. 26)
Asymmetric unit:
Ho: 0.0000 0.2465 0.0000 [2 per cell]
Zn: 0.5000 0.3624 0.6224 [2 per cell]
As: 0.0000 0.2283 0.4935 [2 per cell]
O: 0.5000 0.3250 0.9774 [2 per cell]

Computed properties:
Raw total energy in eV/f.u.: -21.922
M_tot in μB per formula unit: 0.0